Compound: Y2BeCl
Source: Alexandria
Functional: PBE
Structure: optimized geometry

Results
* energy above the lowest structure with this stoichiometry: 25 meV/atom
* E: -20.95 eV/cell
* raw formation energy: -611.3 meV/atom

```
Y2BeCl
1.0
3.394 0.000 0.000
0.000 3.474 -0.018
0.000 0.043 7.919
Y Be Cl
2 1 1
Direct
0.000 0.750 0.043
0.000 0.750 0.457
0.500 0.250 0.250
0.500 0.750 0.750
```



Compound: YBe2Cl
Source: Alexandria
Functional: PBE
Structure: optimized geometry

Results
* energy above the lowest structure with this stoichiometry: 184 meV/atom
* E: -16.26 eV/cell
* raw formation energy: -123.7 meV/atom

```
YBe2Cl
1.0
3.138 0.000 0.000
0.000 3.113 0.000
0.000 0.000 8.265
Y Be Cl
1 2 1
Direct
0.500 0.500 0.780
0.000 0.000 0.030
0.500 0.500 0.123
0.000 0.000 0.567
```



Compound: YBe2Cl
Source: Alexandria
Functional: PBE
Structure: optimized geometry

Results
* energy above the lowest structure with this stoichiometry: 443 meV/atom
* E: -15.22 eV/cell
* raw formation energy: 135.0 meV/atom

```
YBe2Cl
1.0
-3.640 1.776 -4.256
4.265 -4.026 -0.342
-1.428 -3.060 -1.652
Y Be Cl
1 2 1
Direct
0.000 0.500 0.500
0.000 0.000 0.000
0.500 0.500 0.000
0.500 0.000 0.500
```



Compound: Y2BeZnCl
Source: Alexandria
Functional: PBE
Structure: optimized geometry

Results
* E: -18.89 eV/cell
* raw formation energy: 176.4 meV/atom

```
Y2BeZnCl
1.0
5.105 0.000 0.000
0.000 4.681 0.000
0.000 0.000 5.105
Y Be Zn Cl
2 1 1 1
Direct
0.000 0.000 0.500
0.500 0.000 0.000
0.500 0.500 0.500
0.000 0.500 0.000
0.000 0.000 0.000
```



Compound: BeZnCl3
Source: Alexandria
Functional: PBE
Structure: optimized geometry

Results
* energy above the lowest structure with this stoichiometry: 0 meV/atom
* E: -13.19 eV/cell
* raw formation energy: -529.9 meV/atom

```
BeZnCl3
1.0
4.532 0.000 0.000
0.000 4.532 0.000
0.000 0.000 4.532
Be Zn Cl
1 1 3
Direct
0.000 0.000 0.000
0.500 0.500 0.500
0.000 0.500 0.000
0.000 0.000 0.500
0.500 0.000 0.000
```



Compound: BeZnCl3
Source: Alexandria
Functional: PBE
Structure: optimized geometry

Results
* energy above the lowest structure with this stoichiometry: 434 meV/atom
* E: -11.02 eV/cell
* raw formation energy: -96.1 meV/atom

```
BeZnCl3
1.0
-4.344 -2.056 0.657
1.036 -0.691 4.688
-1.894 4.339 1.058
Be Zn Cl
1 1 3
Direct
0.500 0.500 0.500
0.000 0.000 0.000
0.000 0.500 0.000
0.000 0.000 0.500
0.500 0.000 0.000
```



Compound: Be4ZnCl
Source: Alexandria
Functional: PBE
Structure: optimized geometry

Results
* E: -14.91 eV/cell
* raw formation energy: 519.7 meV/atom

```
Be4ZnCl
1.0
0.000 3.283 3.283
3.283 0.000 3.283
3.283 3.283 0.000
Be Zn Cl
4 1 1
Direct
0.887 0.371 0.371
0.371 0.371 0.887
0.371 0.887 0.371
0.371 0.371 0.371
0.000 0.000 0.000
0.750 0.750 0.750
```



Compound: Zr2BeCl
Source: Alexandria
Functional: PBE
Structure: optimized geometry

Results
* energy above the lowest structure with this stoichiometry: 253 meV/atom
* E: -23.30 eV/cell
* raw formation energy: -157.6 meV/atom

```
Zr2BeCl
1.0
4.875 0.003 0.003
-0.345 4.863 0.003
0.560 0.602 2.961
Be Zr Cl
1 2 1
Direct
0.500 0.000 0.500
0.000 0.000 0.000
0.500 0.500 0.000
0.000 0.500 0.500
```



Compound: Zr2BeCl
Source: Alexandria
Functional: PBE
Structure: optimized geometry

Results
* energy above the lowest structure with this stoichiometry: 493 meV/atom
* E: -22.34 eV/cell
* raw formation energy: 82.1 meV/atom

```
Zr2BeCl
1.0
3.253 0.000 0.000
0.000 5.453 0.000
0.000 0.000 4.279
Be Zr Cl
1 2 1
Direct
0.500 0.000 0.500
0.000 0.000 0.000
0.500 0.500 0.000
0.000 0.500 0.500
```



Compound: ZrBeCl3
Source: Alexandria
Functional: PBE
Structure: optimized geometry

Results
* energy above the lowest structure with this stoichiometry: 0 meV/atom
* E: -20.37 eV/cell
* raw formation energy: -511.1 meV/atom

```
ZrBeCl3
1.0
-3.421 1.833 -3.278
-3.318 -3.553 1.475
-1.760 3.134 3.590
Be Zr Cl
1 1 3
Direct
0.500 0.500 0.500
0.000 0.000 0.000
0.000 0.500 0.000
0.000 0.000 0.500
0.500 0.000 0.000
```